Entry 1:
VASP calculation (PBE) on a relaxed ZnSb2Mo crystal.

Lattice parameters (Å, degrees): 8.2394 8.2394 8.2394 24.64 24.64 24.64
Fractional positions:
Sb 0.0049 0.0049 0.0049
Sb 0.4951 0.4951 0.4951
Mo 0.7500 0.7500 0.7500
Zn 0.2500 0.2500 0.2500

Computed properties:
Total energy: -19.6 eV for the cell shown
Density of states at the Fermi level: 2.69 states/eV/cell
Energy relative to the elements, uncorrected: 0.70 eV/f.u.


Entry 2:
VASP calculation (PBE) on a relaxed ZnSb2Mo crystal.

Lattice parameters (Å, degrees): 3.4366 3.3753 8.4935 57.83 90.00 90.00
Fractional positions:
Sb 0.0000 0.5342 0.5309
Sb 0.0000 0.9658 0.9691
Zn 0.5000 0.2500 0.2500
Mo 0.5000 0.7500 0.7500

Computed properties:
Total energy: -19.6 eV for the cell shown
Density of states at the Fermi level: 1.59 states/eV/cell
Energy relative to the elements, uncorrected: 0.75 eV/f.u.


Entry 3:
VASP calculation (PBE) on a relaxed ZnSb2Mo crystal.

Lattice parameters (Å, degrees): 5.3591 5.3591 4.4693 90.00 90.00 38.68
Fractional positions:
Zn 0.4581 0.4581 0.6251
Mo 0.3023 0.3023 0.1251
Sb 0.7243 0.7243 0.6249
Sb 0.0153 0.0153 0.1250

Computed properties:
Total energy: -19.8 eV for the cell shown
Density of states at the Fermi level: 3.34 states/eV/cell
Energy relative to the elements, uncorrected: 0.53 eV/f.u.


Entry 4:
VASP calculation (PBE) on a relaxed ZnSb2Mo crystal.

Lattice parameters (Å, degrees): 5.1788 5.1788 5.1788 136.45 121.96 75.28
Fractional positions:
Zn 0.7500 0.2500 0.5000
Sb 0.9846 0.9846 0.0000
Sb 0.5154 0.5154 0.0000
Mo 0.2500 0.7500 0.5000

Computed properties:
Total energy: -18.9 eV for the cell shown
Density of states at the Fermi level: 2.58 states/eV/cell
Energy relative to the elements, uncorrected: 1.47 eV/f.u.


Entry 5:
VASP calculation (PBE) on a relaxed ZnSb3Mo crystal.

Lattice parameters (Å, degrees): 5.2538 5.2538 5.2538 90.00 90.00 90.00
Fractional positions:
Zn 0.5000 0.5000 0.5000
Sb 0.5000 0.0000 0.0000
Sb 0.0000 0.0000 0.5000
Sb 0.0000 0.5000 0.0000
Mo 0.0000 0.0000 0.0000

Computed properties:
Total energy: -21.8 eV for the cell shown
Offset from the most stable computed form: 0.000 eV/atom
Density of states at the Fermi level: 5.01 states/eV/cell
Energy relative to the elements, uncorrected: 2.67 eV/f.u.


Entry 6:
VASP calculation (PBE) on a relaxed ZnSb2Mo crystal.

Lattice parameters (Å, degrees): 6.1953 6.1953 7.6098 65.98 65.98 90.00
Fractional positions:
Sb 0.3750 0.3701 0.7500
Sb 0.1201 0.6250 0.2500
Sb 0.8750 0.8799 0.7500
Sb 0.6299 0.1250 0.2500
Mo 0.0000 0.0000 0.0000
Mo 0.7500 0.2500 0.5000
Zn 0.5000 0.5000 0.0000
Zn 0.2500 0.7500 0.5000

Computed properties:
Total energy: -36.3 eV for the cell shown
Density of states at the Fermi level: 3.05 states/eV/cell
Energy relative to the elements, uncorrected: 2.19 eV/f.u.


Entry 7:
VASP calculation (PBE) on a relaxed ZnSb2Mo2 crystal.

Lattice parameters (Å, degrees): 7.2792 7.2792 3.6044 90.00 90.00 90.00
Fractional positions:
Mo 0.3583 0.8583 0.0000
Mo 0.1417 0.3583 0.0000
Mo 0.6417 0.1417 0.0000
Mo 0.8583 0.6417 0.0000
Sb 0.1558 0.6558 0.5000
Sb 0.3442 0.1558 0.5000
Sb 0.6558 0.8442 0.5000
Sb 0.8442 0.3442 0.5000
Zn 0.0000 0.0000 0.0000
Zn 0.5000 0.5000 0.0000

Computed properties:
Total energy: -60.2 eV for the cell shown
Density of states at the Fermi level: 7.30 states/eV/cell
Energy relative to the elements, uncorrected: 1.06 eV/f.u.


Entry 8:
VASP calculation (PBE) on a relaxed ZnSb2Mo crystal.

Lattice parameters (Å, degrees): 10.4390 10.4390 10.4390 17.79 17.79 17.79
Fractional positions:
Sb 0.2276 0.2276 0.2276
Sb 0.0245 0.0245 0.0245
Zn 0.4899 0.4899 0.4899
Mo 0.7580 0.7580 0.7580

Computed properties:
Total energy: -18.9 eV for the cell shown
Density of states at the Fermi level: 5.05 states/eV/cell
Energy relative to the elements, uncorrected: 1.45 eV/f.u.